(1)
Computed, not measured: a geometry-optimized ZrCo2Cl structure at the PBE-GGA level of DFT.

Calculated density ... 6.759 g/cm3
Symmetry ... P2/m (10)
Uncorrected formation energy ... 15 meV/atom
ΔE to the lowest computed polymorph ... 0.223 eV/atom

a b c (Å): 3.7587 3.1790 5.0279
angles (deg): 90.12 90.00 90.00
Element x y z (fractional)
1 Zr 0.5000 0.2500 0.2500
2 Cl 0.5000 0.7500 0.7500
3 Co 0.0000 0.7494 0.0100
4 Co 0.0000 0.7506 0.4900

---

(2)
Computed, not measured: a geometry-optimized ZrCoCl2 structure at the PBE-GGA level of DFT.

Calculated density ... 3.858 g/cm3
Symmetry ... C2/m (12)
Uncorrected formation energy ... -764 meV/atom
ΔE to the lowest computed polymorph ... 0.000 eV/atom

a b c (Å): 7.3197 7.3197 3.9994
angles (deg): 89.37 89.37 26.36
Element x y z (fractional)
1 Cl 0.6168 0.6168 0.4781
2 Zr 0.2500 0.2500 0.2500
3 Cl 0.8832 0.8832 0.0219
4 Co 0.7500 0.7500 0.7500

---

(3)
Computed, not measured: a geometry-optimized ZrCoCl2 structure at the PBE-GGA level of DFT.

Calculated density ... 4.731 g/cm3
Symmetry ... R-3m (166)
Uncorrected formation energy ... -236 meV/atom
ΔE to the lowest computed polymorph ... 0.528 eV/atom

a b c (Å): 8.3564 8.3564 8.3564
angles (deg): 22.91 22.91 22.91
Element x y z (fractional)
1 Cl 0.8940 0.8940 0.8940
2 Co 0.5000 0.5000 0.5000
3 Cl 0.1060 0.1060 0.1060
4 Zr 0.0000 0.0000 0.0000

---

(4)
Computed, not measured: a geometry-optimized ZrCoCl4 structure at the PBE-GGA level of DFT.

Calculated density ... 3.836 g/cm3
Symmetry ... F-43m (216)
Uncorrected formation energy ... 723 meV/atom

a b c (Å): 5.6329 5.6329 5.6329
angles (deg): 60.00 60.00 60.00
Element x y z (fractional)
1 Cl 0.3751 0.3751 0.3751
2 Cl 0.8747 0.3751 0.3751
3 Co 0.7500 0.7500 0.7500
4 Cl 0.3751 0.3751 0.8747
5 Cl 0.3751 0.8747 0.3751
6 Zr 0.0000 0.0000 0.0000

---

(5)
Computed, not measured: a geometry-optimized Zr2CoCl structure at the PBE-GGA level of DFT.

Calculated density ... 5.647 g/cm3
Symmetry ... Amm2 (38)
Uncorrected formation energy ... -486 meV/atom
ΔE to the lowest computed polymorph ... 0.090 eV/atom

a b c (Å): 7.4307 7.4307 3.3354
angles (deg): 90.01 90.01 26.23
Element x y z (fractional)
1 Zr 0.9287 0.9287 0.1251
2 Cl 0.5410 0.5410 0.6252
3 Co 0.2996 0.2996 0.1249
4 Zr 0.7306 0.7306 0.6248

---

(6)
Computed, not measured: a geometry-optimized ZrCoCl structure at the PBE-GGA level of DFT.

Calculated density ... 4.956 g/cm3
Symmetry ... P1 (1)
Uncorrected formation energy ... -748 meV/atom

a b c (Å): 3.3423 4.0930 9.1804
angles (deg): 94.73 96.35 90.03
Element x y z (fractional)
1 Co 0.1554 0.9243 0.4429
2 Zr 0.6432 0.4343 0.5032
3 Zr 0.5730 0.8751 0.2180
4 Cl 0.0165 0.5353 0.0338
5 Co 0.0865 0.3804 0.2783
6 Cl 0.4450 0.9593 0.6862

---

(7)
Computed, not measured: a geometry-optimized ZrCo4Cl structure at the PBE-GGA level of DFT.

Calculated density ... 7.229 g/cm3
Symmetry ... F-43m (216)
Uncorrected formation energy ... 193 meV/atom

a b c (Å): 4.9012 4.9012 4.9012
angles (deg): 60.00 60.00 60.00
Element x y z (fractional)
1 Co 0.3757 0.8728 0.3757
2 Co 0.3757 0.3757 0.8728
3 Cl 0.0000 0.0000 0.0000
4 Zr 0.7500 0.7500 0.7500
5 Co 0.8728 0.3757 0.3757
6 Co 0.3757 0.3757 0.3757

---

(8)
Computed, not measured: a geometry-optimized ZrCo2Cl structure at the PBE-GGA level of DFT.

Calculated density ... 6.207 g/cm3
Symmetry ... R-3m (166)
Uncorrected formation energy ... 213 meV/atom
ΔE to the lowest computed polymorph ... 0.420 eV/atom

a b c (Å): 7.8200 7.8200 7.8200
angles (deg): 23.25 23.25 23.25
Element x y z (fractional)
1 Cl 0.7500 0.7500 0.7500
2 Zr 0.2500 0.2500 0.2500
3 Co 0.4982 0.4982 0.4982
4 Co 0.0018 0.0018 0.0018